{
  "formula": "Ba3Ga4Si2",
  "functional": "PBE",
  "state": "optimized geometry",
  "cell": [[6.3607, -2.1753, 0.0000], [6.3607, 2.1753, 0.0000], [-0.3021, 0.0000, 9.0923]],
  "species": ["Ba", "Ba", "Ba", "Ga", "Ga", "Ga", "Ga", "Si", "Si"],
  "frac_coords": [[0.0000, 0.0000, 0.0000], [0.3303, 0.3303, 0.3345], [0.6697, 0.6697, 0.6655], [0.0547, 0.0547, 0.3877], [0.2751, 0.2751, 0.9426], [0.7249, 0.7249, 0.0574], [0.9453, 0.9453, 0.6123], [0.3885, 0.3885, 0.7233], [0.6115, 0.6115, 0.2767]],
  "energy_ev_per_atom": -3.659,
  "dos_at_fermi_per_ev_fu": 4.57,
  "space_group": "No. 12",
  "e_form_raw_ev_per_atom": -0.47,
  "volume_a3_per_atom": 27.96,
  "magnetic_moment_mub_per_cell": 0.0
}